# 1
! InPNO2 | the Alexandria database | PBE | optimized geometry; values from VASP
! Symmetry ... P4/mmm, No. 123
! V ... 49.31 Å³/f.u.
! E_form (uncorrected) ... -424 meV/atom
! Density of states at the Fermi level ... 0.26 states/eV per atom
! Magnetization ... 0.000 μB/f.u.
&SYSTEM
  ibrav = 0, nat = 5, ntyp = 4
/
ATOMIC_SPECIES
In 114.82 In.upf
P 30.97 P.upf
N 14.01 N.upf
O 16.00 O.upf
CELL_PARAMETERS angstrom
3.5444 0.0000 0.0000
0.0000 3.5444 0.0000
0.0000 0.0000 3.9254
ATOMIC_POSITIONS crystal
In 0.0000 0.0000 0.0000
P 0.5000 0.5000 0.5000
N 0.5000 0.5000 0.0000
O 0.0000 0.5000 0.5000
O 0.5000 0.0000 0.5000



# 2
! InPN2O | the Alexandria database | PBE | optimized geometry; values from VASP
! Symmetry ... P4/mmm, No. 123
! V ... 75.96 Å³/f.u.
! E_form (uncorrected) ... 1674 meV/atom
! Density of states at the Fermi level ... 0.49 states/eV per atom
! Magnetization ... 1.955 μB/f.u.
&SYSTEM
  ibrav = 0, nat = 5, ntyp = 4
/
ATOMIC_SPECIES
In 114.82 In.upf
P 30.97 P.upf
N 14.01 N.upf
O 16.00 O.upf
CELL_PARAMETERS angstrom
4.2442 0.0000 0.0000
0.0000 4.2442 0.0000
0.0000 0.0000 4.2170
ATOMIC_POSITIONS crystal
In 0.0000 0.0000 0.0000
P 0.5000 0.5000 0.5000
N 0.0000 0.5000 0.0000
N 0.5000 0.0000 0.0000
O 0.0000 0.0000 0.5000